Entry 1:
Here is a relaxed structure of HoH16C2S2NO12 from Alexandria via LeMat-Bulk. Energies are from PBE.

E ... -5.62 eV per atom
Magnetic moment ... 0.00 μB per formula unit

Unit cell a=10.9090 b=11.7911 c=10.0792 alpha=90.00 beta=90.00 gamma=90.00
With the nearest neighbours (Å) after each atom.
Space group Pnma (No. 62)
Inequivalent atoms, fractional coordinates:
Ho1 0.1241 0.2500 0.0308 (multiplicity 4)  8 O 2.31-2.43
H1 0.0121 0.1416 0.6257 (multiplicity 8)  1 C 1.09
H2 0.0300 0.0731 0.4674 (multiplicity 8)  1 C 1.09
H3 0.0379 0.5868 0.1216 (multiplicity 8)  1 O 1.00
H4 0.0545 0.2500 0.3643 (multiplicity 4)  1 N 1.04
H5 0.0761 0.7500 0.5515 (multiplicity 4)  1 N 1.03
H6 0.1010 0.0411 0.8671 (multiplicity 8)  1 O 1.00
H7 0.1258 0.6826 0.8850 (multiplicity 8)  1 O 1.00
H8 0.1566 0.1458 0.5404 (multiplicity 8)  1 C 1.09
H9 0.2216 0.6825 0.2889 (multiplicity 8)  1 O 0.99
C1 0.0570 0.1450 0.5286 (multiplicity 8)  3 H 1.09
S1 0.2202 0.0592 0.2019 (multiplicity 8)  4 O 1.48-1.51
N1 0.0180 0.2500 0.4594 (multiplicity 4)  2 H 1.03-1.04
O1 0.0489 0.1046 0.9001 (multiplicity 8)  2 H 1.00
O2 0.0860 0.7500 0.9261 (multiplicity 4)  2 H 1.00
O3 0.1059 0.1286 0.2225 (multiplicity 8)  1 S 1.51
O4 0.1871 0.5613 0.1780 (multiplicity 8)  1 S 1.49
O5 0.1965 0.5666 0.8177 (multiplicity 8)  1 S 1.48
O6 0.2219 0.6125 0.5810 (multiplicity 8)  1 S 1.51
O7 0.2325 0.7500 0.3462 (multiplicity 4)  2 H 0.99

=====

Entry 2:
Here is a relaxed structure of Th6Te12Au from Alexandria via LeMat-Bulk. Energies are from PBE.

E ... -5.51 eV per atom
Magnetic moment ... 0.00 μB per formula unit
Raw formation energy ... -1.01 eV per atom

Unit cell a=13.9597 b=13.9597 c=12.3008 alpha=90.00 beta=90.00 gamma=120.00
With the nearest neighbours (Å) after each atom.
Space group R-3 (No. 148, hexagonal axes)
Inequivalent atoms, fractional coordinates:
Th1 0.0549 0.7775 0.1474 (multiplicity 18)  7 Te 3.08-3.34
Te1 0.0364 0.8220 0.8892 (multiplicity 18)  4 Th 3.19-3.34
Te2 0.0503 0.8429 0.3908 (multiplicity 18)  1 Au 2.94, 2 Th 3.08-3.14
Au1 0.0000 0.0000 0.5000 (multiplicity 3)  6 Te 2.94

=====

Entry 3:
Here is a relaxed structure of La6AlSe8 from Alexandria via LeMat-Bulk. Energies are from PBE.

E ... -5.80 eV per atom
Magnetic moment ... 0.00 μB per formula unit
Raw formation energy ... -1.73 eV per atom

Unit cell a=8.9540 b=8.9540 c=18.4573 alpha=90.00 beta=90.00 gamma=120.00
With the nearest neighbours (Å) after each atom.
Space group R-3 (No. 148, hexagonal axes)
Inequivalent atoms, fractional coordinates:
La1 0.0016 0.3757 0.4215 (multiplicity 18)  7 Se 3.01-3.25
Al1 0.0000 0.0000 0.5000 (multiplicity 3)  6 Se 3.03
Se1 0.0000 0.0000 0.1693 (multiplicity 6)  6 La 3.14-3.20
Se2 0.0053 0.2835 0.5918 (multiplicity 18)  5 La 3.01-3.25, 1 Al 3.03

=====

Entry 4:
Here is a relaxed structure of LiLaTl from Alexandria via LeMat-Bulk. Energies are from PBE.

E ... -3.18 eV per atom
Energy of formation ... -0.11 eV/atom
Magnetic moment ... 0.00 μB per formula unit
ΔE to the lowest computed polymorph ... 4.54 kcal/mol of atoms

Unit cell a=4.9152 b=4.9271 c=6.9476 alpha=90.00 beta=90.00 gamma=90.00
With the nearest neighbours (Å) after each atom.
Space group Imm2 (No. 44)
Inequivalent atoms, fractional coordinates:
Li1 0.0000 0.0000 0.0000 (multiplicity 2)  4 Tl 3.01, 4 La 3.01
La1 0.0000 0.5000 0.7507 (multiplicity 2)  4 Li 3.01
Tl1 0.0000 0.5000 0.2500 (multiplicity 2)  4 Li 3.01

=====

Entry 5:
Here is a relaxed structure of CsCd2Ir from Alexandria via LeMat-Bulk. Energies are from PBE.

E ... -2.52 eV per atom
Energy of formation ... 0.36 eV/atom
Magnetic moment ... 0.00 μB per formula unit
ΔE to the lowest computed polymorph ... 0.00 kcal/mol of atoms

Unit cell a=5.9234 b=5.9234 c=17.4936 alpha=90.00 beta=90.00 gamma=90.00
With the nearest neighbours (Å) after each atom.
Space group I4_1/amd (No. 141, origin choice 2)
Inequivalent atoms, fractional coordinates:
Cs1 0.0000 0.2500 0.3750 (multiplicity 4)  8 Cd 3.97, 4 Ir 4.19
Cd1 0.0000 0.0000 0.0000 (multiplicity 8)  2 Ir 2.64
Ir1 0.0000 0.2500 0.8750 (multiplicity 4)  4 Cd 2.64

=====

Entry 6:
Here is a relaxed structure of NaAgHgSb from Alexandria via LeMat-Bulk. Energies are from PBE.

E ... -2.21 eV per atom
Magnetic moment ... 0.00 μB per formula unit
Raw formation energy ... -0.06 eV per atom

Unit cell a=7.1714 b=7.1714 c=7.1714 alpha=90.00 beta=90.00 gamma=90.00
With the nearest neighbours (Å) after each atom.
Space group F-43m (No. 216)
Inequivalent atoms, fractional coordinates:
Na1 0.0000 0.0000 0.0000 (multiplicity 4)  4 Hg 3.11, 4 Sb 3.11
Ag1 0.0000 0.0000 0.5000 (multiplicity 4)  4 Hg 3.11, 4 Sb 3.11
Hg1 0.2500 0.2500 0.2500 (multiplicity 4)  4 Na 3.11, 4 Ag 3.11
Sb1 0.2500 0.2500 0.7500 (multiplicity 4)  4 Na 3.11, 4 Ag 3.11